VASP calculation (GGA-PBE) on a relaxed structure of Dy2Zr2Zn.

## Properties
Total DFT energy (no corrections): -5.592 eV per atom
Volume: 24.375 Å³/atom
Density of states at the Fermi level: 5.72 states/eV/cell
Energy of formation from the pure elements: -77 meV/atom
Size of the total moment: 0.000 μB per atom

Cell: 3.3577 3.3577 11.0677 Å, 98.72 98.72 90.00°
Sites, in units of the cell vectors:
Zn (0.0000, 0.0000, 0.0000)
Dy (0.5914, 0.5914, 0.1828)
Zr (0.2007, 0.2007, 0.4014)
Dy (0.4086, 0.4086, 0.8172)
Zr (0.7993, 0.7993, 0.5986)